No. 1
The following is a DFT calculation (PBE) of a geometry-optimized Pr3BiAsO structure.

Values from the calculation:
crystal system	monoclinic
E_tot	-6.36	eV per atom
V	29.9	Å³ per atom
ΔE_f (raw)	-1.722	eV per atom
DOS(E_F)	2.202	states/eV/f.u.

abc: 9.085 4.307 9.348
angles: 90.00 101.56 90.00
Space group P2_1/m (No. 11)
Unique sites:
1 Pr 0.076 0.250 0.340
2 Pr 0.333 0.250 0.981
3 Pr 0.387 0.750 0.651
4 Bi 0.326 0.750 0.275
5 As 0.155 0.250 0.663
6 O 0.412 0.750 0.911


No. 2
The following is a DFT calculation (PBE) of a geometry-optimized La6NiHg5 structure.

Values from the calculation:
crystal system	orthorhombic
E_tot	-3.52	eV per atom
V	28.6	Å³ per atom
DOS(E_F)	11.372	states/eV/f.u.

abc: 5.444 7.762 16.249
angles: 90.00 90.00 90.00
Space group Immm (No. 71)
Unique sites:
1 La 0.000 0.223 0.000
2 La 0.000 0.268 0.345
3 Ni 0.000 0.500 0.500
4 Hg 0.000 0.000 0.186
5 Hg 0.000 0.000 0.500
6 Hg 0.000 0.500 0.167


Copy entry 2 word for word.
The following is a DFT calculation (PBE) of a geometry-optimized La6NiHg5 structure.

Values from the calculation:
crystal system	orthorhombic
E_tot	-3.52	eV per atom
V	28.6	Å³ per atom
DOS(E_F)	11.372	states/eV/f.u.

abc: 5.444 7.762 16.249
angles: 90.00 90.00 90.00
Space group Immm (No. 71)
Unique sites:
1 La 0.000 0.223 0.000
2 La 0.000 0.268 0.345
3 Ni 0.000 0.500 0.500
4 Hg 0.000 0.000 0.186
5 Hg 0.000 0.000 0.500
6 Hg 0.000 0.500 0.167


- What is the V in the second record?
  28.6 Å³ per atom


- What is the formula in the first record?
  Pr3BiAsO


- What is the formula in the first record?
  Pr3BiAsO